1.
Entry from the Alexandria database: an optimized crystal structure of HfReI (PBE).

Raw total energy (eV for the cell shown): -48.9
ΔE_f (raw) (eV/atom): -0.1664
Symmetry: P-1

Unit cell a=4.162 b=4.056 c=10.521 alpha=102.03 beta=77.67 gamma=89.92
Fractional coordinates of all 6 atoms:
Re 0.785 0.510 0.436
Re 0.215 0.490 0.564
Hf 0.316 0.945 0.372
Hf 0.684 0.055 0.628
I 0.829 0.667 0.834
I 0.171 0.333 0.166

---

2.
Entry from the Alexandria database: an optimized crystal structure of SrNi2B2 (PBE).

Raw total energy (eV for the cell shown): -105.8
Formation energy (eV/atom): 0.03
Symmetry: Pnnm

Unit cell a=3.271 b=6.255 c=13.395 alpha=90.00 beta=90.00 gamma=90.00
Fractional coordinates of all 20 atoms:
Sr 0.500 0.636 0.398
Sr 0.500 0.364 0.602
Sr 0.000 0.864 0.898
Sr 0.000 0.136 0.102
Ni 0.500 0.688 0.132
Ni 0.500 0.312 0.868
Ni 0.000 0.812 0.632
Ni 0.000 0.188 0.368
Ni 0.500 0.631 0.759
Ni 0.500 0.369 0.241
Ni 0.000 0.869 0.259
Ni 0.000 0.131 0.741
B 0.500 0.070 0.446
B 0.500 0.930 0.554
B 0.000 0.430 0.946
B 0.000 0.570 0.054
B 0.500 0.055 0.310
B 0.500 0.945 0.690
B 0.000 0.445 0.810
B 0.000 0.555 0.190

---

3.
Entry from the Alexandria database: an optimized crystal structure of AlCdOs2 (PBE).

Raw total energy (eV for the cell shown): -26.7
Formation energy (eV/atom): 0.10
Symmetry: P4mm

Unit cell a=2.836 b=2.836 c=8.095 alpha=90.00 beta=90.00 gamma=90.00
Fractional coordinates of all 4 atoms:
Os 0.000 0.000 0.034
Os 0.500 0.500 0.243
Al 0.000 0.000 0.460
Cd 0.500 0.500 0.763

---

4.
Entry from the Alexandria database: an optimized crystal structure of NpSnP2O8 (PBE).

Raw total energy (eV for the cell shown): -94.2
ΔE_f (raw) (eV/atom): -2.2290
Symmetry: R-3

Unit cell a=4.997 b=4.997 c=8.081 alpha=71.99 beta=71.99 gamma=60.00
Each line ends with the local moment (μB).
Fractional coordinates of all 12 atoms:
Np 0.000 0.000 0.000  3.11
Sn 0.500 0.500 0.500  0.00
P 0.248 0.248 0.257  0.00
P 0.752 0.752 0.743  0.00
O 0.180 0.180 0.459  -0.01
O 0.564 0.273 0.184  -0.02
O 0.820 0.820 0.541  -0.01
O 0.979 0.564 0.184  -0.02
O 0.021 0.436 0.816  -0.02
O 0.273 0.979 0.184  -0.02
O 0.727 0.021 0.816  -0.02
O 0.436 0.727 0.816  -0.02

---

5.
Entry from the Alexandria database: an optimized crystal structure of MnFeGe (PBE).

Raw total energy (eV for the cell shown): -44.9
Formation energy (eV/atom): -0.07
Symmetry: P6_3/mmc

Unit cell a=4.095 b=4.095 c=5.040 alpha=90.00 beta=90.00 gamma=120.00
Each line ends with the local moment (μB).
Fractional coordinates of all 6 atoms:
Mn 0.000 0.000 0.000  2.44
Mn 0.000 0.000 0.500  2.44
Fe 0.667 0.333 0.250  0.42
Fe 0.333 0.667 0.750  0.42
Ge 0.667 0.333 0.750  -0.07
Ge 0.333 0.667 0.250  -0.07

---

6.
Entry from the Alexandria database: an optimized crystal structure of Sr2ThZrAs4 (PBE).

Raw total energy (eV for the cell shown): -47.8
Formation energy (eV/atom): -1.23
Symmetry: P2/m

Unit cell a=4.224 b=7.290 c=7.555 alpha=108.70 beta=90.00 gamma=90.00
Fractional coordinates of all 8 atoms:
Sr 0.500 0.000 0.500
Sr 0.000 0.500 0.500
Th 0.500 0.500 0.000
Zr 0.000 0.000 0.000
As 0.500 0.226 0.216
As 0.500 0.774 0.784
As 0.000 0.245 0.777
As 0.000 0.755 0.223

---

7.
Entry from the Alexandria database: an optimized crystal structure of TcAg3Cl6F2 (PBE).

Raw total energy (eV for the cell shown): -42.3
ΔE_f (raw) (eV/atom): -0.7101
Symmetry: C2/m

Unit cell a=5.971 b=7.104 c=7.800 alpha=117.09 beta=108.51 gamma=90.00
Each line ends with the local moment (μB).
Fractional coordinates of all 12 atoms:
Tc 0.500 0.000 0.000  2.01
Ag 0.000 0.500 0.000  -0.11
Ag 0.500 0.500 0.500  -0.12
Ag 0.500 0.000 0.500  -0.12
Cl 0.754 0.338 0.201  0.04
Cl 0.246 0.662 0.799  0.04
Cl 0.725 0.890 0.781  -0.02
Cl 0.275 0.110 0.219  -0.02
Cl 0.246 0.137 0.799  0.04
Cl 0.754 0.863 0.201  0.04
F 0.293 0.655 0.309  -0.07
F 0.707 0.345 0.691  -0.07

---

8.
Entry from the Alexandria database: an optimized crystal structure of TbCSe (PBE).

Raw total energy (eV for the cell shown): -39.8
ΔE_f (raw) (eV/atom): -0.8510
Symmetry: C2/m

Unit cell a=4.016 b=4.314 c=10.054 alpha=89.60 beta=90.00 gamma=117.74
Fractional coordinates of all 6 atoms:
Tb 0.849 0.698 0.834
Tb 0.151 0.302 0.166
C 0.421 0.841 0.019
C 0.579 0.159 0.981
Se 0.824 0.648 0.300
Se 0.176 0.352 0.700

---

9.
Entry from the Alexandria database: an optimized crystal structure of CoSiOs2 (PBE).

Raw total energy (eV for the cell shown): -33.9
ΔE_f (raw) (eV/atom): 0.2690
Symmetry: F-43m

Unit cell a=4.219 b=4.219 c=4.219 alpha=60.00 beta=60.00 gamma=60.00
Each line ends with the local moment (μB).
Fractional coordinates of all 4 atoms:
Co 0.500 0.500 0.500  1.30
Os 0.000 0.000 0.000  0.22
Os 0.750 0.750 0.750  0.20
Si 0.250 0.250 0.250  0.01

---

10.
Entry from the Alexandria database: an optimized crystal structure of HoTm2N3 (PBE).

Raw total energy (eV for the cell shown): -197.1
ΔE_f (raw) (eV/atom): -1.7983
Symmetry: Pnma

Unit cell a=4.834 b=6.838 c=10.259 alpha=90.00 beta=90.00 gamma=90.00
Fractional coordinates of all 24 atoms:
Ho 0.250 0.875 0.084
Ho 0.250 0.375 0.416
Ho 0.750 0.625 0.584
Ho 0.750 0.125 0.916
Tm 0.250 0.875 0.750
Tm 0.250 0.375 0.750
Tm 0.250 0.875 0.417
Tm 0.250 0.375 0.083
Tm 0.750 0.625 0.917
Tm 0.750 0.125 0.583
Tm 0.750 0.625 0.250
Tm 0.750 0.125 0.250
N 0.250 0.627 0.584
N 0.250 0.127 0.916
N 0.250 0.623 0.916
N 0.250 0.123 0.584
N 0.250 0.625 0.250
N 0.250 0.125 0.250
N 0.750 0.875 0.750
N 0.750 0.375 0.750
N 0.750 0.877 0.416
N 0.750 0.377 0.084
N 0.750 0.873 0.084
N 0.750 0.373 0.416

---

11.
Entry from the Alexandria database: an optimized crystal structure of Lu2CdRu (PBE).

Raw total energy (eV for the cell shown): -21.2
Formation energy (eV/atom): -0.49
Symmetry: P4/mmm

Unit cell a=3.391 b=3.391 c=7.544 alpha=90.00 beta=90.00 gamma=90.00
Fractional coordinates of all 4 atoms:
Ru 0.500 0.500 0.000
Lu 0.000 0.000 0.786
Lu 0.000 0.000 0.214
Cd 0.500 0.500 0.500

---

12.
Entry from the Alexandria database: an optimized crystal structure of YBe2Ni (PBE).

Raw total energy (eV for the cell shown): -19.5
Formation energy (eV/atom): 0.04
Symmetry: P4mm

Unit cell a=2.949 b=2.949 c=6.397 alpha=90.00 beta=90.00 gamma=90.00
Fractional coordinates of all 4 atoms:
Y 0.500 0.500 0.739
Ni 0.000 0.000 0.424
Be 0.000 0.000 0.079
Be 0.500 0.500 0.259